Computed, not measured: an optimized crystal structure of PmMnCdO4 at the PBE+U level of DFT.

Unit cell a=5.8730 b=5.8730 c=6.9142 alpha=90.00 beta=90.00 gamma=116.40
Fractional coordinates of all 14 atoms:
1 Pm 0.0000 0.0000 0.0000
2 Pm 0.0000 0.0000 0.5000
3 Mn 0.3490 0.6510 0.7500
4 Mn 0.6510 0.3490 0.2500
5 Cd 0.3358 0.6642 0.2500
6 Cd 0.6642 0.3358 0.7500
7 O 0.2341 0.7659 0.5366
8 O 0.2341 0.7659 0.9634
9 O 0.2460 0.2743 0.7500
10 O 0.2743 0.2460 0.2500
11 O 0.7257 0.7540 0.7500
12 O 0.7540 0.7257 0.2500
13 O 0.7659 0.2341 0.0366
14 O 0.7659 0.2341 0.4634

Calculated values
Calculated total energy = -92.6 eV per cell
V = 106.8 Å³/f.u.